# Al2TlPb

A relaxed structure of Al2TlPb (GGA-PBE, the Alexandria database).

Properties
E above lowest polymorph, meV per atom: 0
Space group: No. 25

abc: 3.2997 3.6560 8.3231
angles: 90.00 90.00 90.00
Last column: nearest neighbours and their distance in Å.
Fractional coordinates of all 4 atoms:
Tl  0.5000  0.5000  0.7942  5 Al 3.26-3.43, 2 Tl 3.30
Al  0.0000  0.0000  0.0508  4 Al 2.78
Al  0.5000  0.5000  0.2067  4 Al 2.78
Pb  0.0000  0.0000  0.4483  5 Al 3.18-3.31, 2 Pb 3.30

=====

# Al2TlPb

A relaxed structure of Al2TlPb (GGA-PBE, the Alexandria database).

Properties
E above lowest polymorph, meV per atom: 207
Space group: No. 122

abc: 8.0744 8.0744 6.5129
angles: 51.69 51.69 90.00
Last column: nearest neighbours and their distance in Å.
Fractional coordinates of all 8 atoms:
Al  0.1241  0.6250  0.2500  2 Pb 2.96, 2 Tl 2.97, 2 Al 3.13
Al  0.8750  0.8759  0.7500  2 Pb 2.96, 2 Tl 2.97, 2 Al 3.13
Al  0.6259  0.1250  0.2500  2 Pb 2.96, 2 Tl 2.97, 2 Al 3.13
Al  0.3750  0.3741  0.7500  2 Pb 2.96, 2 Tl 2.97, 2 Al 3.13
Pb  0.0000  0.0000  0.0000  4 Al 2.96, 2 Tl 3.13
Pb  0.7500  0.2500  0.5000  4 Al 2.96, 2 Tl 3.13
Tl  0.2500  0.7500  0.5000  4 Al 2.97, 2 Pb 3.13
Tl  0.5000  0.5000  0.0000  4 Al 2.97, 2 Pb 3.13

=====

# Al2Tl2Pb

A relaxed structure of Al2Tl2Pb (GGA-PBE, the Alexandria database).

Properties
E above lowest polymorph, meV per atom: 91
Space group: No. 127

abc: 8.8288 8.8288 3.3421
angles: 90.00 90.00 90.00
Last column: nearest neighbours and their distance in Å.
Fractional coordinates of all 10 atoms:
Tl  0.1505  0.3495  0.0000  6 Al 3.04-3.10, 2 Tl 3.34, 2 Pb 3.36
Tl  0.8495  0.6505  0.0000  6 Al 3.04-3.10, 2 Tl 3.34, 2 Pb 3.36
Tl  0.6505  0.1505  0.0000  6 Al 3.04-3.10, 2 Tl 3.34, 2 Pb 3.36
Tl  0.3495  0.8495  0.0000  6 Al 3.04-3.10, 2 Tl 3.34, 2 Pb 3.36
Pb  0.0000  0.0000  0.0000  2 Pb 3.34, 4 Tl 3.36
Pb  0.5000  0.5000  0.0000  2 Pb 3.34, 4 Tl 3.36
Al  0.3542  0.1458  0.5000  6 Tl 3.04-3.10, 2 Al 3.34
Al  0.8542  0.3542  0.5000  6 Tl 3.04-3.10, 2 Al 3.34
Al  0.1458  0.6458  0.5000  6 Tl 3.04-3.10, 2 Al 3.34
Al  0.6458  0.8542  0.5000  6 Tl 3.04-3.10, 2 Al 3.34

=====

# AlTlPb

A relaxed structure of AlTlPb (GGA-PBE, the Alexandria database).

Properties
E above lowest polymorph, meV per atom: 0
Space group: No. 129

abc: 3.6007 3.6007 12.7171
angles: 90.00 90.00 90.00
Last column: nearest neighbours and their distance in Å.
Fractional coordinates of all 6 atoms:
Tl  0.0000  0.5000  0.6017  8 Tl 3.60-3.63, 4 Pb 3.62
Tl  0.5000  0.0000  0.3983  8 Tl 3.60-3.63, 4 Pb 3.62
Al  0.5000  0.0000  0.0470  4 Al 2.81, 1 Pb 3.09
Al  0.0000  0.5000  0.9530  4 Al 2.81, 1 Pb 3.09
Pb  0.5000  0.0000  0.8039  5 Al 3.09-3.17
Pb  0.0000  0.5000  0.1961  5 Al 3.09-3.17

=====

no.,total energy (eV/atom),ΔE_f (eV/f.u.)
1,-3.24,0.609
2,-3.03,1.436
3,-2.88,1.509
4,-3.16,0.324